[1]
Material: Tl2HgPb
Method: DFT, PBE-GGA
State: relaxed

```
data_Tl2HgPb
_chemical_formula_sum 'Tl8 Hg4 Pb4'
_space_group_name_H-M_alt 'P 1'
_space_group_IT_number 1
_space_group_name_Hall 'P 1'
_cell_length_a 7.651
_cell_length_b 7.651
_cell_length_c 7.651
_cell_angle_alpha 90.00
_cell_angle_beta 90.00
_cell_angle_gamma 90.00
loop_
_atom_site_label
_atom_site_type_symbol
_atom_site_fract_x
_atom_site_fract_y
_atom_site_fract_z
_atom_site_occupancy
Tl1 Tl 0.000 0.000 0.000 1
Tl2 Tl 0.000 0.500 0.500 1
Tl3 Tl 0.250 0.250 0.250 1
Tl4 Tl 0.250 0.750 0.750 1
Tl5 Tl 0.500 0.000 0.500 1
Tl6 Tl 0.500 0.500 0.000 1
Tl7 Tl 0.750 0.250 0.750 1
Tl8 Tl 0.750 0.750 0.250 1
Hg1 Hg 0.000 0.000 0.500 1
Hg2 Hg 0.000 0.500 0.000 1
Hg3 Hg 0.500 0.000 0.000 1
Hg4 Hg 0.500 0.500 0.500 1
Pb1 Pb 0.250 0.250 0.750 1
Pb2 Pb 0.250 0.750 0.250 1
Pb3 Pb 0.750 0.250 0.250 1
Pb4 Pb 0.750 0.750 0.750 1
```

**Total DFT energy (no corrections)**: -8.60 eV per formula unit
**Crystal system**: cubic
**SG**: F-43m

[2]
Material: SiBPd
Method: DFT, PBE-GGA
State: relaxed

```
data_SiBPd
_chemical_formula_sum 'Si4 B4 Pd4'
_space_group_name_H-M_alt 'P 1'
_space_group_IT_number 1
_space_group_name_Hall 'P 1'
_cell_length_a 5.448
_cell_length_b 5.448
_cell_length_c 5.448
_cell_angle_alpha 90.00
_cell_angle_beta 90.00
_cell_angle_gamma 90.00
loop_
_atom_site_label
_atom_site_type_symbol
_atom_site_fract_x
_atom_site_fract_y
_atom_site_fract_z
_atom_site_occupancy
Si1 Si 0.000 0.000 0.000 1
Si2 Si 0.000 0.500 0.500 1
Si3 Si 0.500 0.000 0.500 1
Si4 Si 0.500 0.500 0.000 1
B1 B 0.000 0.000 0.500 1
B2 B 0.000 0.500 0.000 1
B3 B 0.500 0.000 0.000 1
B4 B 0.500 0.500 0.500 1
Pd1 Pd 0.250 0.250 0.750 1
Pd2 Pd 0.250 0.750 0.250 1
Pd3 Pd 0.750 0.250 0.250 1
Pd4 Pd 0.750 0.750 0.750 1
```

**Energy above the most stable polymorph in this dataset**: 173.1 meV per atom
**Crystal system**: cubic
**SG**: F-43m

[3]
Material: ZrZnCoIr
Method: DFT, PBE-GGA
State: relaxed

```
data_ZrZnCoIr
_chemical_formula_sum 'Zr4 Zn4 Co4 Ir4'
_space_group_name_H-M_alt 'P 1'
_space_group_IT_number 1
_space_group_name_Hall 'P 1'
_cell_length_a 6.219
_cell_length_b 6.219
_cell_length_c 6.219
_cell_angle_alpha 90.00
_cell_angle_beta 90.00
_cell_angle_gamma 90.00
loop_
_atom_site_label
_atom_site_type_symbol
_atom_site_fract_x
_atom_site_fract_y
_atom_site_fract_z
_atom_site_occupancy
Zr1 Zr 0.000 0.000 0.000 1
Zr2 Zr 0.000 0.500 0.500 1
Zr3 Zr 0.500 0.000 0.500 1
Zr4 Zr 0.500 0.500 0.000 1
Zn1 Zn 0.000 0.000 0.500 1
Zn2 Zn 0.000 0.500 0.000 1
Zn3 Zn 0.500 0.000 0.000 1
Zn4 Zn 0.500 0.500 0.500 1
Co1 Co 0.250 0.250 0.750 1
Co2 Co 0.250 0.750 0.250 1
Co3 Co 0.750 0.250 0.250 1
Co4 Co 0.750 0.750 0.750 1
Ir1 Ir 0.250 0.250 0.250 1
Ir2 Ir 0.250 0.750 0.750 1
Ir3 Ir 0.750 0.250 0.750 1
Ir4 Ir 0.750 0.750 0.250 1
```

**Formation enthalpy at 0 K**: -1.82 eV/f.u.
**Energy above the most stable polymorph in this dataset**: 0.0 meV per atom
**Crystal system**: cubic
**SG**: F-43m

- Number 2 is which compound?
  SiBPd